Here is WC2 after structural relaxation from Alexandria via LeMat-Bulk. Energies are from PBE.

Cell: 5.598 5.598 5.598 Å, 32.84 32.84 32.84°
Fractional positions:
C 0.269 0.269 0.269
C 0.731 0.731 0.731
W 0.000 0.000 0.000

Summary:
Energy relative to the lowest polymorph listed for this composition: 1187.6 meV per atom
ΔE_f: 1.703 eV/atom
Space group: R-3m (166)